Computed, not measured: a relaxed Ho3MnPd12 crystal at the PBE-GGA level of DFT.

a = 4.0760 Å, b = 4.0760 Å, c = 16.1916 Å
α = 90.00°, β = 90.00°, γ = 90.00°
Last column: nearest neighbours and their distance in Å.
Sites, in units of the cell vectors:
Pd 0.5000 0.5000 0.5000  4 Ho 2.88, 8 Pd 2.91
Pd 0.5000 0.5000 0.7565  4 Ho 2.88, 8 Pd 2.91
Pd 0.5000 0.0000 0.3718  8 Pd 2.88-2.91, 4 Ho 2.91
Pd 0.0000 0.5000 0.8849  2 Mn 2.76, 8 Pd 2.76-2.91, 2 Ho 2.91
Pd 0.5000 0.0000 0.6282  8 Pd 2.88-2.91, 4 Ho 2.91
Pd 0.0000 0.5000 0.6282  8 Pd 2.88-2.91, 4 Ho 2.91
Pd 0.5000 0.5000 0.2435  4 Ho 2.88, 8 Pd 2.91
Pd 0.0000 0.5000 0.1151  2 Mn 2.76, 8 Pd 2.76-2.91, 2 Ho 2.91
Pd 0.0000 0.5000 0.3718  8 Pd 2.88-2.91, 4 Ho 2.91
Pd 0.5000 0.5000 0.0000  8 Pd 2.76, 4 Mn 2.88
Pd 0.5000 0.0000 0.8849  2 Mn 2.76, 8 Pd 2.76-2.91, 2 Ho 2.91
Pd 0.5000 0.0000 0.1151  2 Mn 2.76, 8 Pd 2.76-2.91, 2 Ho 2.91
Ho 0.0000 0.0000 0.7562  12 Pd 2.88-2.91
Ho 0.0000 0.0000 0.2438  12 Pd 2.88-2.91
Ho 0.0000 0.0000 0.5000  12 Pd 2.88-2.91
Mn 0.0000 0.0000 0.0000  12 Pd 2.76-2.88

Computed properties:
The formation energy is -711 meV/atom. The theoretical density comes out at 11.276 g cm⁻³. Its space-group type is P4/mmm (123).

Computed, not measured: a relaxed KRbSc2Ti crystal at the PBE-GGA level of DFT.

a = 5.3363 Å, b = 5.4963 Å, c = 5.3363 Å
α = 90.00°, β = 90.00°, γ = 90.00°
Last column: nearest neighbours and their distance in Å.
Sites, in units of the cell vectors:
Rb 0.0000 0.0000 0.0000  4 Sc 2.67, 2 K 2.75
Ti 0.5000 0.5000 0.5000  4 K 3.77, 8 Sc 3.83
Sc 0.0000 0.0000 0.5000  2 Rb 2.67
Sc 0.5000 0.0000 0.0000  2 Rb 2.67
K 0.0000 0.5000 0.0000  2 Rb 2.75

Computed properties:
The formation energy is 1836 meV/atom. The theoretical density comes out at 2.783 g cm⁻³. Its space-group type is P4/mmm (123).